A plane-wave DFT calculation with PBE was carried out for crystalline Pr12Er2Tm5 at its relaxed geometry.

Values from the calculation:
D(E_F)   26.5 states/eV/cell
VASP energy   -4.57 eV per atom
Distance to the lowest polymorph of the same formula   0.00 eV per formula unit
Theoretical density   7.350 g/cm³
Crystal system   monoclinic
Formation enthalpy at 0 K   1.931 eV/f.u.
Space-group type   C2/m (12)

Cell lengths 11.7730, 10.7762, 6.2442 Å; angles 100.25, 90.00, 123.11 degrees
Atoms (fractional coordinates):
Tm: 0.3208 0.6417 0.1412
Tm: 0.7837 0.5674 0.4432
Tm: 0.0000 0.0000 0.5000
Tm: 0.6792 0.3583 0.8588
Tm: 0.2163 0.4326 0.5568
Pr: 0.9369 0.3924 0.1973
Pr: 0.0631 0.6076 0.8027
Pr: 0.6495 0.7919 0.3834
Pr: 0.5445 0.6076 0.8027
Pr: 0.4555 0.3924 0.1973
Pr: 0.5574 0.1147 0.2729
Pr: 0.8576 0.2081 0.6166
Pr: 0.1187 0.2374 0.0065
Pr: 0.8813 0.7626 0.9935
Pr: 0.3505 0.2081 0.6166
Pr: 0.1424 0.7919 0.3834
Pr: 0.4426 0.8853 0.7271
Er: 0.7670 0.0000 0.0000
Er: 0.2330 0.0000 0.0000

=====

A plane-wave DFT calculation with PBE was carried out for crystalline Pr7ErTm12 at its relaxed geometry.

Values from the calculation:
D(E_F)   28.4 states/eV/cell
VASP energy   -3.93 eV per atom
Distance to the lowest polymorph of the same formula   8.60 eV per formula unit
Theoretical density   7.427 g/cm³
Crystal system   cubic
Formation enthalpy at 0 K   13.144 eV/f.u.
Space-group type   Im-3m (229)

Cell lengths 9.7392, 9.7392, 9.7392 Å; angles 109.47, 109.47, 109.47 degrees
Atoms (fractional coordinates):
Tm: 0.7555 0.7553 0.5108
Tm: 0.5108 0.7555 0.7553
Tm: 0.4892 0.2445 0.2447
Tm: 0.2445 0.7553 0.9998
Tm: 0.2447 0.0002 0.7555
Tm: 0.7553 0.9998 0.2445
Tm: 0.7553 0.5108 0.7555
Tm: 0.0002 0.7555 0.2447
Tm: 0.7555 0.2447 0.0002
Tm: 0.9998 0.2445 0.7553
Tm: 0.2447 0.4892 0.2445
Tm: 0.2445 0.2447 0.4892
Er: 0.0000 0.0000 0.0000
Pr: 0.5000 0.0000 0.0000
Pr: 0.0000 0.0000 0.5000
Pr: 0.0000 0.5000 0.5000
Pr: 0.5000 0.5000 0.0000
Pr: 0.5000 0.0000 0.5000
Pr: 0.0000 0.5000 0.0000
Pr: 0.5000 0.5000 0.5000

=====

A plane-wave DFT calculation with PBE was carried out for crystalline PrEr2Tm2 at its relaxed geometry.

Values from the calculation:
D(E_F)   8.9 states/eV/cell
VASP energy   -4.45 eV per atom
Distance to the lowest polymorph of the same formula   0.19 eV per formula unit
Theoretical density   8.366 g/cm³
Crystal system   orthorhombic
Formation enthalpy at 0 K   0.608 eV/f.u.
Space-group type   Amm2 (38)

Cell lengths 3.4886, 5.6762, 8.6324 Å; angles 109.21, 90.00, 90.00 degrees
Atoms (fractional coordinates):
Tm: 0.2000 0.7795 0.5591
Tm: 0.7000 0.2113 0.4227
Er: 0.2000 0.3993 0.7985
Er: 0.7000 0.5920 0.1840
Pr: 0.2000 0.0178 0.0357

=====

A plane-wave DFT calculation with PBE was carried out for crystalline Pr12Er5Tm at its relaxed geometry.

Values from the calculation:
D(E_F)   29.3 states/eV/cell
VASP energy   -4.68 eV per atom
Theoretical density   7.245 g/cm³
Crystal system   monoclinic
Formation enthalpy at 0 K   0.472 eV/f.u.
Space-group type   P2/m (10)

Cell lengths 15.3882, 10.9201, 5.1746 Å; angles 90.00, 90.00, 45.29 degrees
Atoms (fractional coordinates):
Pr: 0.3309 0.6666 0.0000
Pr: 0.0023 0.6671 0.0000
Pr: 0.6691 0.3334 0.0000
Pr: 0.3355 0.0002 0.0001
Pr: 0.4977 0.3331 0.5000
Pr: 0.9977 0.3329 0.0000
Pr: 0.5023 0.6669 0.5000
Pr: 0.1689 0.3336 0.5000
Pr: 0.8311 0.6664 0.5000
Pr: 0.6645 0.9998 0.9999
Pr: 0.8358 0.0002 0.4999
Pr: 0.1642 0.9998 0.5001
Tm: 0.0000 0.0000 0.0000
Er: 0.1665 0.6669 0.5000
Er: 0.5000 0.0000 0.5000
Er: 0.3334 0.3332 0.0000
Er: 0.6666 0.6668 0.0000
Er: 0.8335 0.3331 0.5000

=====

A plane-wave DFT calculation with PBE was carried out for crystalline Pr3ErTm6 at its relaxed geometry.

Values from the calculation:
D(E_F)   19.5 states/eV/cell
VASP energy   -4.27 eV per atom
Distance to the lowest polymorph of the same formula   2.34 eV per formula unit
Theoretical density   8.193 g/cm³
Crystal system   trigonal
Formation enthalpy at 0 K   3.065 eV/f.u.
Space-group type   R3 (146)

Cell lengths 9.8402, 9.8402, 6.8773 Å; angles 44.32, 44.32, 60.00 degrees
Atoms (fractional coordinates):
Pr: 0.6012 0.6012 0.1963
Pr: 0.3507 0.3507 0.9480
Pr: 0.0996 0.0996 0.7011
Tm: 0.2687 0.9255 0.2020
Tm: 0.0953 0.4308 0.7001
Tm: 0.6038 0.2687 0.2020
Tm: 0.4308 0.7738 0.7001
Tm: 0.9255 0.6038 0.2020
Tm: 0.7738 0.0953 0.7001
Er: 0.8505 0.8505 0.4485

=====

A plane-wave DFT calculation with PBE was carried out for crystalline Pr4Er11Tm9 at its relaxed geometry.

Values from the calculation:
D(E_F)   34.4 states/eV/cell
VASP energy   -4.50 eV per atom
Theoretical density   8.682 g/cm³
Crystal system   orthorhombic
Formation enthalpy at 0 K   1.465 eV/f.u.
Space-group type   Cmmm (65)

Cell lengths 3.5041, 14.6393, 14.6393 Å; angles 92.05, 90.00, 90.00 degrees
Atoms (fractional coordinates):
Pr: 0.5000 0.2786 0.4528
Pr: 0.5000 0.5472 0.7214
Pr: 0.5000 0.7214 0.5472
Pr: 0.5000 0.4528 0.2786
Er: 0.0000 0.6607 0.3393
Er: 0.0000 0.1679 0.8321
Er: 0.0000 0.5860 0.9233
Er: 0.0000 0.7592 0.7592
Er: 0.0000 0.0767 0.4140
Er: 0.0000 0.2408 0.2408
Er: 0.0000 0.9233 0.5860
Er: 0.0000 0.3393 0.6607
Er: 0.0000 0.0000 0.0000
Er: 0.0000 0.4140 0.0767
Er: 0.0000 0.8321 0.1679
Tm: 0.5000 0.5000 0.5000
Tm: 0.5000 0.9634 0.7944
Tm: 0.5000 0.7944 0.9634
Tm: 0.5000 0.8721 0.3751
Tm: 0.5000 0.1279 0.6249
Tm: 0.5000 0.3751 0.8721
Tm: 0.5000 0.6249 0.1279
Tm: 0.5000 0.0366 0.2056
Tm: 0.5000 0.2056 0.0366

=====

A plane-wave DFT calculation with PBE was carried out for crystalline PrEr8Tm2 at its relaxed geometry.

Values from the calculation:
D(E_F)   15.0 states/eV/cell
VASP energy   -4.45 eV per atom
Distance to the lowest polymorph of the same formula   0.00 eV per formula unit
Theoretical density   8.704 g/cm³
Crystal system   orthorhombic
Formation enthalpy at 0 K   1.311 eV/f.u.
Space-group type   Immm (71)

Cell lengths 5.4289, 8.0613, 9.2921 Å; angles 115.71, 106.98, 90.00 degrees
Atoms (fractional coordinates):
Er: 0.6408 0.4342 0.2817
Er: 0.1638 0.1638 0.3277
Er: 0.6409 0.8475 0.2818
Er: 0.0000 0.7040 0.0001
Er: 0.0000 0.2960 0.9999
Er: 0.3591 0.1525 0.7182
Er: 0.3592 0.5658 0.7183
Er: 0.8362 0.8362 0.6723
Tm: 0.1993 0.6993 0.3987
Tm: 0.8007 0.3007 0.6013
Pr: 0.5000 0.0000 0.0000

=====

A plane-wave DFT calculation with PBE was carried out for crystalline Pr6ErTm2 at its relaxed geometry.

Values from the calculation:
D(E_F)   12.2 states/eV/cell
VASP energy   -4.56 eV per atom
Distance to the lowest polymorph of the same formula   0.43 eV per formula unit
Theoretical density   7.256 g/cm³
Crystal system   orthorhombic
Formation enthalpy at 0 K   1.167 eV/f.u.
Space-group type   Cmmm (65)

Cell lengths 3.6801, 10.0639, 10.0639 Å; angles 56.02, 90.00, 90.00 degrees
Atoms (fractional coordinates):
Pr: 0.0000 0.1587 0.5093
Pr: 0.5000 0.3153 0.6847
Pr: 0.0000 0.8413 0.4907
Pr: 0.0000 0.4907 0.8413
Pr: 0.0000 0.5093 0.1587
Pr: 0.5000 0.6847 0.3153
Tm: 0.5000 0.8252 0.8252
Tm: 0.5000 0.1748 0.1748
Er: 0.0000 0.0000 0.0000

=====

Which of these has the highest theoretical density?
PrEr8Tm2

=====

Copy entry 2 word for word.
A plane-wave DFT calculation with PBE was carried out for crystalline Pr7ErTm12 at its relaxed geometry.

Values from the calculation:
D(E_F)   28.4 states/eV/cell
VASP energy   -3.93 eV per atom
Distance to the lowest polymorph of the same formula   8.60 eV per formula unit
Theoretical density   7.427 g/cm³
Crystal system   cubic
Formation enthalpy at 0 K   13.144 eV/f.u.
Space-group type   Im-3m (229)

Cell lengths 9.7392, 9.7392, 9.7392 Å; angles 109.47, 109.47, 109.47 degrees
Atoms (fractional coordinates):
Tm: 0.7555 0.7553 0.5108
Tm: 0.5108 0.7555 0.7553
Tm: 0.4892 0.2445 0.2447
Tm: 0.2445 0.7553 0.9998
Tm: 0.2447 0.0002 0.7555
Tm: 0.7553 0.9998 0.2445
Tm: 0.7553 0.5108 0.7555
Tm: 0.0002 0.7555 0.2447
Tm: 0.7555 0.2447 0.0002
Tm: 0.9998 0.2445 0.7553
Tm: 0.2447 0.4892 0.2445
Tm: 0.2445 0.2447 0.4892
Er: 0.0000 0.0000 0.0000
Pr: 0.5000 0.0000 0.0000
Pr: 0.0000 0.0000 0.5000
Pr: 0.0000 0.5000 0.5000
Pr: 0.5000 0.5000 0.0000
Pr: 0.5000 0.0000 0.5000
Pr: 0.0000 0.5000 0.0000
Pr: 0.5000 0.5000 0.5000

=====

Which of these has the lowest theoretical density?
Pr12Er5Tm